[1]
5
Lattice="4.8864 0.0000 0.0000 0.0000 4.8864 0.0000 0.0000 0.0000 4.8864" Properties=species:S:1:pos:R:3 comment="RbAgIr3 (PBEsol, optimized geometry)" spacegroup="No. 221" e_above_lowest_polymorph_mev_per_atom=0 dft_energy_ev_per_cell=-22.4 delta_e_f_ev_per_atom=2.278 pbc="T T T"
Rb 0.0000 0.0000 0.0000
Ag 2.4432 2.4432 2.4432
Ir 0.0000 2.4432 2.4432
Ir 2.4432 0.0000 2.4432
Ir 2.4432 2.4432 0.0000


[2]
5
Lattice="4.7335 0.0000 0.0000 0.0000 4.7335 0.0000 0.0000 0.0000 4.7335" Properties=species:S:1:pos:R:3 comment="RbAgIr3 (PBEsol, optimized geometry)" spacegroup="No. 221" e_above_lowest_polymorph_mev_per_atom=1117 dft_energy_ev_per_cell=-16.8 delta_e_f_ev_per_atom=3.395 pbc="T T T"
Rb 0.0000 0.0000 0.0000
Ag 2.3667 2.3667 2.3667
Ir 0.0000 0.0000 2.3667
Ir 0.0000 2.3667 0.0000
Ir 2.3667 0.0000 0.0000


[3]
5
Lattice="5.7389 0.0000 0.0000 0.0000 5.7389 0.0000 0.0000 0.0000 4.6243" Properties=species:S:1:pos:R:3 comment="Sr2ReAgIr (PBEsol, optimized geometry)" spacegroup="No. 123" dft_energy_ev_per_cell=-25.6 delta_e_f_ev_per_atom=0.911 pbc="T T T"
Sr 0.0000 2.8694 0.0000
Sr 2.8694 0.0000 0.0000
Re 0.0000 0.0000 0.0000
Ag 2.8694 2.8694 2.3121
Ir 0.0000 0.0000 2.3121


[4]
4
Lattice="1.3561 0.7829 8.9719 -1.3561 0.7829 8.9719 0.0000 -1.5659 8.9719" Properties=species:S:1:pos:R:3 comment="AgIrRh2 (PBEsol, optimized geometry)" spacegroup="No. 160" e_above_lowest_polymorph_mev_per_atom=38 dft_energy_ev_per_cell=-28.9 delta_e_f_ev_per_atom=0.139 pbc="T T T"
Ag 0.0000 0.0000 0.0000
Ir 0.0000 0.0000 6.5973
Rh 0.0000 0.0000 13.4342
Rh 0.0000 0.0000 20.2750


[5]
4
Lattice="2.7025 0.0000 0.0000 0.0000 2.7025 0.0000 0.0000 0.0000 7.8631" Properties=species:S:1:pos:R:3 comment="AgIrRh2 (PBEsol, optimized geometry)" spacegroup="No. 99" e_above_lowest_polymorph_mev_per_atom=76 dft_energy_ev_per_cell=-28.7 delta_e_f_ev_per_atom=0.177 pbc="T T T"
Ag 0.0000 0.0000 0.0000
Ir 1.3512 1.3512 2.1236
Rh 0.0000 0.0000 3.9459
Rh 1.3512 1.3512 5.7764


[6]
4
Lattice="2.7152 0.0000 0.0000 0.0000 2.7152 0.0000 0.0000 0.0000 7.7939" Properties=species:S:1:pos:R:3 comment="AgIrRh2 (PBEsol, optimized geometry)" spacegroup="No. 123" e_above_lowest_polymorph_mev_per_atom=0 dft_energy_ev_per_cell=-29.0 delta_e_f_ev_per_atom=0.101 pbc="T T T"
Ag 0.0000 0.0000 0.0000
Ir 0.0000 0.0000 3.8969
Rh 1.3576 1.3576 2.0802
Rh 1.3576 1.3576 5.7137


[7]
4
Lattice="2.7667 0.0000 0.0000 0.0000 3.8027 0.0000 0.0000 0.0000 5.7999" Properties=species:S:1:pos:R:3 comment="Ag2IrRh (PBEsol, optimized geometry)" spacegroup="No. 25" dft_energy_ev_per_cell=-23.6 delta_e_f_ev_per_atom=0.247 pbc="T T T"
Ag 0.0000 0.0000 0.0000
Ag 1.3833 1.9014 1.4202
Ir 0.0000 0.0000 3.0675
Rh 1.3833 1.9014 4.1447


[8]
4
Lattice="1.3607 0.7856 8.9997 -1.3607 0.7856 8.9997 0.0000 -1.5711 8.9997" Properties=species:S:1:pos:R:3 comment="AgIr2Rh (PBEsol, optimized geometry)" spacegroup="No. 160" e_above_lowest_polymorph_mev_per_atom=0 dft_energy_ev_per_cell=-30.6 delta_e_f_ev_per_atom=0.131 pbc="T T T"
Ag 0.0000 0.0000 0.0000
Ir 0.0000 0.0000 13.5248
Ir 0.0000 0.0000 20.3684
Rh 0.0000 0.0000 6.6690